[1]
## TlCuSi (PBE-GGA)

Data for a geometry-optimized TlCuSi structure.

Structure (POSCAR):
```
TlCuSi
1.0
-7.350 -4.667 -1.973
2.130 -1.649 -4.032
3.292 -0.894 2.104
Si Cu Tl
2 2 2
Direct
0.927 0.599 0.288
0.759 0.099 0.035
0.844 0.849 0.662
0.844 0.349 0.662
0.248 0.099 0.769
0.438 0.599 0.551
```



[2]
## TlCuSi (PBE-GGA)

Data for a geometry-optimized TlCuSi structure.

Structure (POSCAR):
```
TlCuSi
1.0
4.101 0.000 0.000
0.000 4.101 0.000
0.000 0.000 7.220
Cu Tl Si
2 2 2
Direct
0.000 0.500 0.801
0.500 0.000 0.199
0.000 0.000 0.500
0.500 0.500 0.500
0.500 0.000 0.884
0.000 0.500 0.116
```



[3]
## TlCuSi4 (PBE-GGA)

Data for a geometry-optimized TlCuSi4 structure.

Structure (POSCAR):
```
TlCuSi4
1.0
0.000 3.745 3.745
3.745 0.000 3.745
3.745 3.745 0.000
Tl Cu Si
1 1 4
Direct
0.750 0.750 0.750
0.000 0.000 0.000
0.879 0.374 0.374
0.374 0.374 0.374
0.374 0.879 0.374
0.374 0.374 0.879
```



[4]
## TlCuSi2 (PBE-GGA)

Data for a geometry-optimized TlCuSi2 structure.

Structure (POSCAR):
```
TlCuSi2
1.0
9.892 0.127 0.075
9.400 3.084 0.075
9.400 1.564 2.659
Tl Cu Si
1 1 2
Direct
0.750 0.750 0.750
0.250 0.250 0.250
0.981 0.981 0.981
0.519 0.519 0.519
```

Results
E above lowest polymorph: 0.267 eV/atom



[5]
## TlCuSi (PBE-GGA)

Data for a geometry-optimized TlCuSi structure.

Structure (POSCAR):
```
TlCuSi
1.0
6.692 0.270 -0.008
0.204 4.799 0.000
-0.005 0.000 3.981
Si Tl Cu
2 2 2
Direct
0.925 0.118 0.233
0.752 0.635 0.232
0.232 0.571 0.237
0.440 0.043 0.738
0.882 0.859 0.733
0.828 0.367 0.733
```



[6]
## TlCuSi2 (PBE-GGA)

Data for a geometry-optimized TlCuSi2 structure.

Structure (POSCAR):
```
TlCuSi2
1.0
-4.456 1.182 -1.619
-0.945 -3.704 -3.043
1.433 -0.328 4.660
Si Cu Tl
2 1 1
Direct
0.250 0.750 0.500
0.000 0.000 0.000
0.750 0.250 0.500
0.500 0.500 0.000
```

Results
E above lowest polymorph: 0.407 eV/atom



[7]
## TlCuSi2 (PBE-GGA)

Data for a geometry-optimized TlCuSi2 structure.

Structure (POSCAR):
```
TlCuSi2
1.0
-1.439 -0.171 -2.833
-2.824 -0.228 1.448
-0.657 7.411 -0.113
Si Tl Cu
2 1 1
Direct
0.000 0.000 0.990
0.500 0.500 0.158
0.000 0.000 0.527
0.500 0.500 0.824
```

Results
E above lowest polymorph: 0.143 eV/atom



[8]
## TlCuSi (PBE-GGA)

Data for a geometry-optimized TlCuSi structure.

Structure (POSCAR):
```
TlCuSi
1.0
6.573 0.030 -0.032
5.821 3.052 -0.045
0.752 0.200 3.016
Cu Tl Si
1 1 1
Direct
0.960 0.960 0.040
0.664 0.664 0.336
0.376 0.376 0.624
```



[9]
## TlCu2Si (PBE-GGA)

Data for a geometry-optimized TlCu2Si structure.

Structure (POSCAR):
```
TlCu2Si
1.0
2.900 0.000 0.000
0.000 3.154 0.000
0.000 0.000 7.456
Cu Tl Si
2 1 1
Direct
0.000 0.000 0.070
0.000 0.000 0.430
0.500 0.500 0.750
0.500 0.500 0.250
```

Results
E above lowest polymorph: 0.025 eV/atom



[10]
## TlCuSi (PBE-GGA)

Data for a geometry-optimized TlCuSi structure.

Structure (POSCAR):
```
TlCuSi
1.0
7.451 0.000 0.000
0.000 4.234 0.000
0.000 0.000 7.173
Si Tl Cu
4 4 4
Direct
0.283 0.750 0.899
0.217 0.250 0.399
0.783 0.750 0.601
0.717 0.250 0.101
0.003 0.750 0.181
0.497 0.250 0.681
0.997 0.250 0.819
0.503 0.750 0.319
0.625 0.750 0.925
0.875 0.250 0.425
0.375 0.250 0.075
0.125 0.750 0.575
```



[11]
## TlCuSi2 (PBE-GGA)

Data for a geometry-optimized TlCuSi2 structure.

Structure (POSCAR):
```
TlCuSi2
1.0
2.939 -0.301 3.690
-1.519 -1.823 4.088
1.570 -4.222 1.433
Cu Tl Si
1 1 2
Direct
0.000 0.000 0.000
0.500 0.500 0.500
0.250 0.250 0.250
0.750 0.750 0.750
```

Results
E above lowest polymorph: 0.512 eV/atom



[12]
## TlCuSi (PBE-GGA)

Data for a geometry-optimized TlCuSi structure.

Structure (POSCAR):
```
TlCuSi
1.0
-1.537 -0.447 7.184
2.197 -3.501 0.499
3.763 2.056 1.271
Tl Si Cu
2 2 2
Direct
0.497 0.660 0.587
0.189 0.185 0.108
0.950 0.707 0.479
0.736 0.138 0.215
0.834 0.653 0.000
0.853 0.192 0.695
```



[13]
## TlCuSi2 (PBE-GGA)

Data for a geometry-optimized TlCuSi2 structure.

Structure (POSCAR):
```
TlCuSi2
1.0
5.071 0.000 0.005
0.819 5.004 -0.005
-2.140 -3.450 3.039
Cu Si Tl
1 2 1
Direct
0.206 0.706 0.500
0.801 0.301 0.500
0.000 0.000 0.000
0.493 0.493 0.000
```

Results
E above lowest polymorph: 0.306 eV/atom



[14]
## TlCuSi (PBE-GGA)

Data for a geometry-optimized TlCuSi structure.

Structure (POSCAR):
```
TlCuSi
1.0
3.377 0.000 0.000
-1.689 2.925 0.000
0.000 0.000 5.935
Cu Si Tl
1 1 1
Direct
0.000 0.000 0.044
0.333 0.667 0.277
0.667 0.333 0.679
```



[15]
## TlCu2Si (PBE-GGA)

Data for a geometry-optimized TlCu2Si structure.

Structure (POSCAR):
```
TlCu2Si
1.0
4.557 0.000 0.000
2.279 3.947 0.000
2.279 1.316 3.721
Cu Tl Si
2 1 1
Direct
0.250 0.250 0.250
0.750 0.750 0.750
0.500 0.500 0.500
0.000 0.000 0.000
```

Results
E above lowest polymorph: 0.210 eV/atom



[16]
## TlCu2Si (PBE-GGA)

Data for a geometry-optimized TlCu2Si structure.

Structure (POSCAR):
```
TlCu2Si
1.0
-0.801 -3.737 -1.474
1.866 0.916 -3.529
3.541 -1.647 0.867
Si Cu Tl
1 2 1
Direct
0.500 0.000 0.500
0.000 0.000 0.000
0.500 0.500 0.000
0.000 0.500 0.500
```

Results
E above lowest polymorph: 0.189 eV/atom



[17]
## TlCu3Si (PBE-GGA)

Data for a geometry-optimized TlCu3Si structure.

Structure (POSCAR):
```
TlCu3Si
1.0
4.844 0.000 0.000
0.000 4.844 0.000
0.000 0.000 4.844
Cu Tl Si
3 1 1
Direct
0.000 0.000 0.500
0.000 0.500 0.000
0.500 0.000 0.000
0.000 0.000 0.000
0.500 0.500 0.500
```

Results
E above lowest polymorph: 0.923 eV/atom



[18]
## TlCu2Si2 (PBE-GGA)

Data for a geometry-optimized TlCu2Si2 structure.

Structure (POSCAR):
```
TlCu2Si2
1.0
-0.036 -3.777 -0.108
0.506 -0.112 3.743
-5.559 -1.911 2.602
Tl Cu Si
1 2 2
Direct
0.000 0.000 0.000
0.615 0.615 0.769
0.385 0.385 0.231
0.750 0.250 0.500
0.250 0.750 0.500
```

Results
E above lowest polymorph: 0.016 eV/atom



[19]
## TlCu2Si (PBE-GGA)

Data for a geometry-optimized TlCu2Si structure.

Structure (POSCAR):
```
TlCu2Si
1.0
4.389 0.000 0.000
0.000 4.389 0.000
2.194 2.194 7.971
Si Cu Tl
2 4 2
Direct
0.500 0.500 0.000
0.250 0.750 0.500
0.875 0.755 0.750
0.505 0.125 0.250
0.245 0.625 0.250
0.375 0.495 0.750
0.750 0.250 0.500
0.000 0.000 0.000
```

Results
E above lowest polymorph: 0.075 eV/atom



[20]
## TlCu2Si (PBE-GGA)

Data for a geometry-optimized TlCu2Si structure.

Structure (POSCAR):
```
TlCu2Si
1.0
2.940 0.000 0.000
0.000 3.153 0.093
0.000 1.665 7.411
Cu Si Tl
2 1 1
Direct
0.000 0.634 0.429
0.000 0.866 0.071
0.500 0.250 0.250
0.500 0.750 0.750
```

Results
E above lowest polymorph: 0.018 eV/atom



[21]
## TlCuSi2 (PBE-GGA)

Data for a geometry-optimized TlCuSi2 structure.

Structure (POSCAR):
```
TlCuSi2
1.0
-4.403 1.723 1.750
-1.536 -3.445 -0.471
1.035 -0.945 3.534
Tl Si Cu
1 2 1
Direct
0.500 0.500 0.000
0.000 0.000 0.000
0.000 0.500 0.500
0.500 0.000 0.500
```

Results
E above lowest polymorph: 0.349 eV/atom



[22]
## TlCu2Si2 (PBE-GGA)

Data for a geometry-optimized TlCu2Si2 structure.

Structure (POSCAR):
```
TlCu2Si2
1.0
7.817 0.000 0.000
0.000 7.817 0.000
0.000 0.000 2.733
Cu Tl Si
4 2 4
Direct
0.845 0.345 0.500
0.155 0.655 0.500
0.345 0.155 0.500
0.655 0.845 0.500
0.500 0.500 0.000
0.000 0.000 0.000
0.875 0.625 0.000
0.625 0.125 0.000
0.125 0.375 0.000
0.375 0.875 0.000
```

Results
E above lowest polymorph: 0.147 eV/atom



[23]
## Tl2CuSi2 (PBE-GGA)

Data for a geometry-optimized Tl2CuSi2 structure.

Structure (POSCAR):
```
Tl2CuSi2
1.0
-3.981 2.678 -3.929
1.346 -4.281 -4.281
-4.091 -3.230 1.944
Si Tl Cu
4 4 2
Direct
0.138 0.362 0.000
0.862 0.638 0.000
0.638 0.138 0.000
0.362 0.862 0.000
0.813 0.313 0.500
0.187 0.687 0.500
0.687 0.813 0.500
0.313 0.187 0.500
0.500 0.500 0.000
0.000 0.000 0.000
```



[24]
## TlCu2Si (PBE-GGA)

Data for a geometry-optimized TlCu2Si structure.

Structure (POSCAR):
```
TlCu2Si
1.0
-1.444 -3.631 -1.525
-1.529 -3.512 1.713
-5.659 1.001 -0.184
Si Tl Cu
1 1 2
Direct
0.750 0.750 0.750
0.250 0.250 0.250
0.018 0.018 0.913
0.482 0.482 0.587
```

Results
E above lowest polymorph: 0.006 eV/atom



[25]
## TlCuSi2 (PBE-GGA)

Data for a geometry-optimized TlCuSi2 structure.

Structure (POSCAR):
```
TlCuSi2
1.0
4.498 0.000 0.000
0.000 4.498 0.000
2.249 2.249 7.896
Tl Si Cu
2 4 2
Direct
0.750 0.250 0.500
0.000 0.000 0.000
0.235 0.625 0.250
0.375 0.485 0.750
0.875 0.765 0.750
0.515 0.125 0.250
0.500 0.500 0.000
0.250 0.750 0.500
```

Results
E above lowest polymorph: 0.157 eV/atom



[26]
## TlCuSi (PBE-GGA)

Data for a geometry-optimized TlCuSi structure.

Structure (POSCAR):
```
TlCuSi
1.0
9.137 0.207 0.170
-1.720 3.469 -0.024
1.965 1.003 4.058
Cu Tl Si
2 2 2
Direct
0.770 0.118 0.603
0.916 0.765 0.739
0.227 0.576 0.522
0.460 0.309 0.820
0.759 0.107 0.117
0.929 0.778 0.224
```



[27]
## TlCu2Si (PBE-GGA)

Data for a geometry-optimized TlCu2Si structure.

Structure (POSCAR):
```
TlCu2Si
1.0
4.124 0.000 0.000
0.000 4.130 0.000
0.000 0.000 3.885
Tl Cu Si
1 2 1
Direct
0.000 0.500 0.500
0.500 0.500 0.000
0.000 0.000 0.000
0.500 0.000 0.500
```

Results
E above lowest polymorph: 0.205 eV/atom



[28]
## TlCuSi2 (PBE-GGA)

Data for a geometry-optimized TlCuSi2 structure.

Structure (POSCAR):
```
TlCuSi2
1.0
-3.024 -0.198 -1.849
-0.277 -3.416 0.819
-3.281 0.085 5.359
Si Cu Tl
2 1 1
Direct
0.000 0.800 0.082
0.500 0.296 0.077
0.500 0.908 0.791
0.000 0.496 0.550
```

Results
E above lowest polymorph: 0.096 eV/atom



Number 1: formation energy from raw total energies 0.4 eV per formula unit. Number 2: formation energy from raw total energies 1.9 eV per formula unit. Number 3: formation energy from raw total energies 3.6 eV per formula unit. Number 4: formation energy from raw total energies 1.9 eV per formula unit. Number 5: formation energy from raw total energies 0.5 eV per formula unit. Number 6: formation energy from raw total energies 2.5 eV per formula unit. Number 7: formation energy from raw total energies 1.4 eV per formula unit. Number 8: formation energy from raw total energies 1.0 eV per formula unit. Number 9: formation energy from raw total energies 1.1 eV per formula unit. Number 10: formation energy from raw total energies 1.0 eV per formula unit. Number 11: formation energy from raw total energies 2.9 eV per formula unit. Number 12: formation energy from raw total energies 0.4 eV per formula unit. Number 13: formation energy from raw total energies 2.1 eV per formula unit. Number 14: formation energy from raw total energies 1.1 eV per formula unit. Number 15: formation energy from raw total energies 1.8 eV per formula unit. Number 16: formation energy from raw total energies 1.7 eV per formula unit. Number 17: formation energy from raw total energies 6.1 eV per formula unit. Number 18: formation energy from raw total energies 1.0 eV per formula unit. Number 19: formation energy from raw total energies 1.3 eV per formula unit. Number 20: formation energy from raw total energies 1.0 eV per formula unit. Number 21: formation energy from raw total energies 2.3 eV per formula unit. Number 22: formation energy from raw total energies 1.7 eV per formula unit. Number 23: formation energy from raw total energies 1.5 eV per formula unit. Number 24: formation energy from raw total energies 1.0 eV per formula unit. Number 25: formation energy from raw total energies 1.5 eV per formula unit. Number 26: formation energy from raw total energies 0.4 eV per formula unit. Number 27: formation energy from raw total energies 1.8 eV per formula unit. Number 28: formation energy from raw total energies 1.2 eV per formula unit.